Material: SrTlI2F
Method: DFT, PBE
State: relaxed

Lattice parameters (Å, degrees): 6.558 6.558 4.608 90.00 90.00 90.00
Sites, in units of the cell vectors:
I: 0.000 0.500 0.000
I: 0.500 0.000 0.000
Sr: 0.000 0.000 0.000
Tl: 0.500 0.500 0.500
F: 0.000 0.000 0.500

Computed properties:
Raw total energy = -18.19 eV/cell
Fermi-level density of states = 0.00 states/eV/f.u.
Space group = P4/mmm
Magnetization = 0.0 μB per cell
Crystal system = tetragonal
Volume = 39.64 Å³/atom